Entry 1:
Entry from the Alexandria database: a relaxed structure of InNi2RuO6 (GGA+U).

Computed properties:
Crystal system: tetragonal

Cell and atoms, written as POSCAR:
```
InNi2RuO6
1.0
4.3182 0.0000 0.0000
0.0000 5.7011 0.0000
0.0000 0.0000 5.7011
Ru In O Ni
1 1 6 2
direct
0.6281 0.0000 0.0000
0.6319 0.5000 0.5000
0.7636 0.2334 0.2334
0.7636 0.7666 0.7666
0.1610 0.5000 0.5000
0.7636 0.2334 0.7666
0.2313 0.0000 0.0000
0.7636 0.7666 0.2334
0.8701 0.0000 0.5000
0.8701 0.5000 0.0000
```

Entry 2:
Entry from the Alexandria database: a relaxed structure of InNi2SbO6 (GGA+U).

Computed properties:
Crystal system: trigonal

Cell and atoms, written as POSCAR:
```
InNi2SbO6
1.0
-2.5813 -4.5339 0.8700
1.5597 -3.2273 3.8896
-3.2375 -0.3600 4.5957
O Sb Ni In
6 1 2 1
direct
0.1166 0.3856 0.8006
0.9164 0.5868 0.2838
0.2131 0.9164 0.2838
0.5868 0.2130 0.2838
0.3856 0.6973 0.8006
0.6973 0.1166 0.8006
0.3040 0.3040 0.0881
0.0022 0.0022 0.9935
0.5075 0.5075 0.4775
0.7943 0.7943 0.6171
```

Entry 3:
Entry from the Alexandria database: a relaxed structure of Sm2InNiO6 (GGA+U).

Computed properties:
Crystal system: monoclinic

Cell and atoms, written as POSCAR:
```
Sm2InNiO6
1.0
5.4516 0.0000 0.1399
0.0000 5.6682 0.0000
0.2525 0.0000 8.2331
In O Ni Sm
2 12 2 4
direct
0.5000 0.0000 0.5000
0.0000 0.5000 0.0000
0.3151 0.7154 0.0606
0.2199 0.1913 0.0675
0.8822 0.5417 0.2504
0.8151 0.7846 0.5606
0.1849 0.2154 0.4394
0.7199 0.3087 0.5675
0.3822 0.9583 0.7504
0.1178 0.4583 0.7496
0.6849 0.2846 0.9394
0.2801 0.6913 0.4325
0.6178 0.0417 0.2496
0.7801 0.8087 0.9325
0.5000 0.0000 0.0000
0.0000 0.5000 0.5000
0.0238 0.9376 0.2569
0.4762 0.4376 0.2431
0.5238 0.5624 0.7569
0.9762 0.0624 0.7431
```

Entry 4:
Entry from the Alexandria database: a relaxed structure of Sr3InNiO6 (GGA+U).

Computed properties:
Crystal system: monoclinic

Cell and atoms, written as POSCAR:
```
Sr3InNiO6
1.0
-2.8930 -6.0165 -0.5319
5.4790 -1.3453 -7.5822
6.9250 -3.8323 5.6842
Sr O In Ni
12 24 4 4
direct
0.6234 0.0733 0.1857
0.7592 0.7553 0.3702
0.7408 0.2447 0.8702
0.2408 0.2447 0.6298
0.3849 0.4418 0.3149
0.8766 0.9267 0.6857
0.2592 0.7553 0.1298
0.1151 0.5582 0.8148
0.6151 0.5582 0.6851
0.3766 0.9267 0.8143
0.1234 0.0734 0.3143
0.8849 0.4418 0.1852
0.2134 0.9722 0.5630
0.7235 0.4819 0.4370
0.5406 0.8003 0.5992
0.4617 0.6795 0.9025
0.3987 0.3657 0.8299
0.4594 0.1997 0.4008
0.9617 0.6795 0.5975
0.2235 0.4819 0.0630
0.1014 0.6343 0.3299
0.8987 0.3657 0.6701
0.2765 0.5181 0.5630
0.0405 0.8003 0.9007
0.0797 0.1091 0.8398
0.5797 0.1091 0.6602
0.7866 0.0278 0.4370
0.7134 0.9722 0.9370
0.9203 0.8909 0.1601
0.5383 0.3205 0.0975
0.9594 0.1997 0.0992
0.4203 0.8909 0.3398
0.2866 0.0278 0.0630
0.7765 0.5181 0.9370
0.0383 0.3205 0.4025
0.6013 0.6343 0.1701
0.7457 0.2514 0.5020
0.2457 0.2514 0.9980
0.7543 0.7486 0.0020
0.2543 0.7486 0.4980
0.0000 0.0000 0.0000
0.0000 0.5000 0.5000
0.5000 0.0000 0.5000
0.5000 0.5000 0.0000
```

Entry 5:
Entry from the Alexandria database: a relaxed structure of Sr3InNiO6 (GGA+U).

Computed properties:
Crystal system: monoclinic

Cell and atoms, written as POSCAR:
```
Sr3InNiO6
1.0
-3.4669 5.6936 -0.3874
-3.8560 -2.2221 5.2914
4.5424 2.5954 4.1573
Sr O Ni In
6 12 2 2
direct
0.8810 0.2500 0.6190
0.6193 0.8804 0.2532
0.2469 0.6196 0.8808
0.7531 0.3804 0.1192
0.1190 0.7500 0.3810
0.3807 0.1196 0.7468
0.2176 0.4138 0.5336
0.2775 0.9536 0.0833
0.7225 0.0464 0.9167
0.0991 0.2950 0.9559
0.4167 0.5465 0.2224
0.0337 0.9138 0.7174
0.5440 0.2049 0.4008
0.9663 0.0862 0.2826
0.7824 0.5862 0.4664
0.9009 0.7050 0.0441
0.5833 0.4535 0.7776
0.4560 0.7951 0.5992
0.5000 0.5000 0.5000
0.0000 0.0000 0.0000
0.7449 0.7499 0.7551
0.2551 0.2501 0.2449
```

Entry 6:
Entry from the Alexandria database: a relaxed structure of Sr2InNiO (GGA+U).

Computed properties:
Crystal system: tetragonal

Cell and atoms, written as POSCAR:
```
Sr2InNiO
1.0
-4.8526 -3.3087 -1.5822
2.7508 -3.2868 -1.5634
-0.0060 -2.6169 5.4909
Ni Sr In O
1 2 1 1
direct
0.0000 0.5000 0.0000
0.0000 0.0000 0.5000
0.5000 0.0000 0.0000
0.0000 0.0000 0.0000
0.5000 0.5000 0.5000
```

Entry 7:
Entry from the Alexandria database: a relaxed structure of InNiTe2O8 (GGA+U).

Computed properties:
Crystal system: trigonal

Cell and atoms, written as POSCAR:
```
InNiTe2O8
1.0
5.9264 0.0000 0.0000
-2.9632 5.1324 0.0000
0.0000 0.0000 6.0480
O Te In Ni
8 2 1 1
direct
0.8494 0.6989 0.2536
0.3011 0.1506 0.2536
0.6667 0.3333 0.6268
0.3333 0.6667 0.3732
0.8494 0.1506 0.2536
0.1506 0.3011 0.7464
0.1506 0.8494 0.7464
0.6989 0.8494 0.7464
0.3333 0.6667 0.6715
0.6667 0.3333 0.3285
0.0000 0.0000 0.0000
0.0000 0.0000 0.5000
```

Entry 8:
Entry from the Alexandria database: a relaxed structure of In2NiTeO6 (GGA+U).

Computed properties:
Crystal system: triclinic

Cell and atoms, written as POSCAR:
```
In2NiTeO6
1.0
5.4037 0.0802 0.0941
2.7579 5.1582 0.2635
2.8025 1.9814 5.0227
O In Te Ni
6 2 1 1
direct
0.4203 0.7043 0.7832
0.6784 0.1659 0.7847
0.1197 0.4221 0.7440
0.2072 0.8975 0.2596
0.6173 0.2021 0.2612
0.8920 0.6434 0.2583
0.5279 0.5062 0.4066
0.0458 0.0174 0.9314
0.3262 0.3252 0.0521
0.8267 0.7775 0.5341
```

So what do the calculations give for calculated total energy? Going down the list: -5.373 -5.524 -6.717 -5.728 -5.727 -2.231 -5.106 -5.304 eV/atom.